Entry 1:
Density functional theory data (PBE) for an optimized crystal structure of Th5Co2Hg2.

Cell: 9.1450 9.1450 7.0129 Å, 90.00 90.00 54.13°
Closest atoms and distances in Å follow each position.
Atoms (fractional coordinates):
Th  0.0000  0.0000  0.0000  2 Co 2.57
Th  0.0634  0.7065  0.6484  3 Co 2.90-3.01
Th  0.2065  0.5634  0.1484  3 Co 2.90-3.01
Th  0.2935  0.9366  0.6484  3 Co 2.90-3.01
Th  0.4366  0.7935  0.1484  3 Co 2.90-3.01
Th  0.5000  0.5000  0.5000  2 Co 2.57
Th  0.5634  0.2065  0.8516  3 Co 2.90-3.01
Th  0.7065  0.0634  0.3516  3 Co 2.90-3.01
Th  0.7935  0.4366  0.8516  3 Co 2.90-3.01
Th  0.9366  0.2935  0.3516  3 Co 2.90-3.01
Co  0.1038  0.8962  0.3457  1 Th 2.57, 1 Co 2.77
Co  0.3962  0.6038  0.8457  1 Th 2.57, 1 Co 2.77
Co  0.6038  0.3962  0.1543  1 Th 2.57, 1 Co 2.77
Co  0.8962  0.1038  0.6543  1 Th 2.57, 1 Co 2.77
Hg  0.2174  0.2174  0.0000  7 Th 3.28-3.54, 2 Hg 3.66
Hg  0.2826  0.2826  0.5000  7 Th 3.28-3.54, 2 Hg 3.66
Hg  0.7174  0.7174  0.5000  7 Th 3.28-3.54, 2 Hg 3.66
Hg  0.7826  0.7826  0.0000  7 Th 3.28-3.54, 2 Hg 3.66

Results
* electronic total energy: -5.999 eV/atom
* DFT formation energy: -231 meV/atom
* M_tot: 0.00 μB per formula unit
* DOS(E_F): 1.0384 states/eV/atom
* energy above the most stable polymorph in this dataset: 0.000 eV/atom

Entry 2:
Density functional theory data (PBE) for an optimized crystal structure of InCuSb2Te.

Cell: 5.6023 5.6023 5.6965 Å, 90.00 90.00 90.00°
Closest atoms and distances in Å follow each position.
Atoms (fractional coordinates):
In  0.0000  0.0000  0.0000  4 Sb 2.80, 2 Te 2.85
Cu  0.5000  0.5000  0.5000  4 Te 3.96, 8 Sb 3.99
Sb  0.0000  0.5000  0.0000  2 In 2.80
Sb  0.5000  0.0000  0.0000  2 In 2.80
Te  0.0000  0.0000  0.5000  2 In 2.85

Results
* electronic total energy: -2.589 eV/atom
* E_form (uncorrected): 1055 meV per atom
* M_tot: 0.00 μB per formula unit
* DOS(E_F): 1.2002 states/eV/atom
* energy above the most stable polymorph in this dataset: 0.718 eV/atom

Entry 3:
Density functional theory data (PBE) for an optimized crystal structure of ZnCdAu5.

Cell: 6.6971 6.6971 6.6971 Å, 132.69 89.34 109.48°
Closest atoms and distances in Å follow each position.
Atoms (fractional coordinates):
Zn  0.0000  0.0000  0.0000  4 Au 2.69-2.70
Cd  0.6184  0.1184  0.5000  5 Au 2.78-2.81
Au  0.0633  0.3149  0.7484  3 Au 2.69-2.75, 1 Cd 2.81
Au  0.3026  0.0505  0.7480  5 Au 2.67-2.83, 1 Zn 2.70, 1 Cd 2.78
Au  0.3026  0.5546  0.2520  5 Au 2.67-2.83, 1 Zn 2.70, 1 Cd 2.78
Au  0.5664  0.3149  0.2516  3 Au 2.69-2.75, 1 Cd 2.81
Au  0.9798  0.4798  0.5000  4 Au 2.69-2.83, 2 Zn 2.69, 1 Cd 2.79

Results
* electronic total energy: -2.405 eV/atom
* DFT formation energy: 248 meV/atom
* M_tot: 0.00 μB per formula unit
* DOS(E_F): 0.3765 states/eV/atom
* energy above the most stable polymorph in this dataset: 0.362 eV/atom

Entry 4:
Density functional theory data (PBE) for an optimized crystal structure of Th2RhAu.

Cell: 7.5976 7.5976 7.5976 Å, 31.80 31.80 31.80°
Closest atoms and distances in Å follow each position.
Atoms (fractional coordinates):
Th  0.0000  0.0000  0.0000  3 Rh 2.87, 3 Au 3.15
Th  0.1881  0.1881  0.1881  3 Rh 2.88, 3 Au 3.14
Rh  0.5945  0.5945  0.5945  6 Th 2.87-2.88
Au  0.7609  0.7609  0.7609  6 Th 3.14-3.15

Results
* electronic total energy: -7.093 eV/atom
* DFT formation energy: -726 meV/atom
* M_tot: 0.00 μB per formula unit
* DOS(E_F): 0.7373 states/eV/atom

Entry 5:
Density functional theory data (PBE) for an optimized crystal structure of Mn2Sn2Rh3.

Cell: 4.4914 4.4914 7.3339 Å, 107.88 107.88 60.09°
Closest atoms and distances in Å follow each position.
Atoms (fractional coordinates):
Mn  0.1309  0.1309  0.3926  5 Rh 2.56-2.81
Mn  0.8691  0.8691  0.6074  5 Rh 2.56-2.81
Sn  0.3933  0.3933  0.1798  7 Rh 2.62-2.87
Sn  0.6067  0.6067  0.8202  7 Rh 2.62-2.87
Rh  0.0000  0.0000  0.0000  2 Mn 2.69, 6 Sn 2.87
Rh  0.2554  0.2554  0.7659  4 Mn 2.56-2.81, 4 Sn 2.62-2.84
Rh  0.7446  0.7446  0.2341  4 Mn 2.56-2.81, 4 Sn 2.62-2.84

Results
* electronic total energy: -7.162 eV/atom
* DFT formation energy: -248 meV/atom
* M_tot: 8.52 μB per formula unit
* DOS(E_F): 0.5134 states/eV/atom